[1]
# PBE-GGA Cu2IrAu, relaxed
# Density, g/cm³: 14.89
# Spin magnetization, μB per atom: 0.0727
# Uncorrected energy, eV/atom: -4.970
data_Cu2IrAu
_chemical_formula_sum 'Cu2 Ir1 Au1'
_cell_length_a 8.955
_cell_length_b 8.955
_cell_length_c 8.955
_cell_angle_alpha 17.64
_cell_angle_beta 17.64
_cell_angle_gamma 17.64
_space_group_name_H-M_alt 'P 1'
_space_group_IT_number 1
loop_
_space_group_symop_operation_xyz
'x,y,z'
loop_
_atom_site_label
_atom_site_type_symbol
_atom_site_fract_x
_atom_site_fract_y
_atom_site_fract_z
Cu1 Cu 0.247 0.247 0.247
Cu2 Cu 0.753 0.753 0.753
Ir1 Ir 0.500 0.500 0.500
Au1 Au 0.000 0.000 0.000


[2]
# PBE-GGA BeSi2Ru, relaxed
# Uncorrected formation energy, eV per atom: -0.05
# Density, g/cm³: 5.38
# Spin magnetization, μB per atom: 0.0001
data_BeSi2Ru
_chemical_formula_sum 'Be1 Si2 Ru1'
_cell_length_a 7.621
_cell_length_b 7.621
_cell_length_c 7.621
_cell_angle_alpha 21.32
_cell_angle_beta 21.32
_cell_angle_gamma 21.32
_space_group_name_H-M_alt 'P 1'
_space_group_IT_number 1
loop_
_space_group_symop_operation_xyz
'x,y,z'
loop_
_atom_site_label
_atom_site_type_symbol
_atom_site_fract_x
_atom_site_fract_y
_atom_site_fract_z
Be1 Be 0.000 0.000 0.000
Si1 Si 0.251 0.251 0.251
Si2 Si 0.749 0.749 0.749
Ru1 Ru 0.500 0.500 0.500